[1]
DFT (GGA-PBEsol) results for LiTl2In after structural relaxation.

Cell and atoms, written as CIF:
```
data_LiTl2In
_cell_length_a 6.545
_cell_length_b 10.300
_cell_length_c 3.261
_cell_angle_alpha 90.00
_cell_angle_beta 113.42
_cell_angle_gamma 90.00
_space_group_name_H-M_alt 'C 1 2/m 1'
_space_group_IT_number 12
loop_
_space_group_symop_operation_xyz
'x,y,z'
'-x,-y,-z'
'-x,y,-z'
'x,-y,z'
'x+1/2,y+1/2,z'
'-x+1/2,-y+1/2,-z'
'-x+1/2,y+1/2,-z'
'x+1/2,-y+1/2,z'
loop_
_atom_site_label
_atom_site_fract_x
_atom_site_fract_y
_atom_site_fract_z
_atom_site_occupancy
Li1 0.000 0.000 0.000 1
Tl1 0.250 0.250 0.500 1
In1 0.000 0.500 0.000 1
```

## Properties
* calculated formation energy: -7 kJ/mol of atoms

---

[2]
DFT (GGA-PBEsol) results for LaMn2Sb after structural relaxation.

Cell and atoms, written as CIF:
```
data_LaMn2Sb
_cell_length_a 4.308
_cell_length_b 4.474
_cell_length_c 4.748
_cell_angle_alpha 90.00
_cell_angle_beta 90.00
_cell_angle_gamma 90.00
_space_group_name_H-M_alt 'P m m m'
_space_group_IT_number 47
loop_
_space_group_symop_operation_xyz
'x,y,z'
'-x,-y,-z'
'-x,-y,z'
'x,y,-z'
'x,-y,-z'
'-x,y,z'
'-x,y,-z'
'x,-y,z'
loop_
_atom_site_label
_atom_site_fract_x
_atom_site_fract_y
_atom_site_fract_z
_atom_site_occupancy
La1 0.000 0.000 0.000 1
Mn1 0.500 0.500 0.204 1
Sb1 0.000 0.500 0.500 1
```

## Properties
* formation energy (no corrections): 26.3 kJ per mole of atoms

---

[3]
DFT (GGA-PBEsol) results for Ce2FeSe2O2 after structural relaxation.

Cell and atoms, written as CIF:
```
data_Ce2FeSe2O2
_cell_length_a 10.976
_cell_length_b 3.851
_cell_length_c 6.909
_cell_angle_alpha 90.00
_cell_angle_beta 121.76
_cell_angle_gamma 90.00
_space_group_name_H-M_alt 'C 1 2/m 1'
_space_group_IT_number 12
loop_
_space_group_symop_operation_xyz
'x,y,z'
'-x,-y,-z'
'-x,y,-z'
'x,-y,z'
'x+1/2,y+1/2,z'
'-x+1/2,-y+1/2,-z'
'-x+1/2,y+1/2,-z'
'x+1/2,-y+1/2,z'
loop_
_atom_site_label
_atom_site_fract_x
_atom_site_fract_y
_atom_site_fract_z
_atom_site_occupancy
Ce1 0.192 0.000 0.241 1
Fe1 0.000 0.000 0.500 1
Se1 0.057 0.500 0.816 1
O1 0.202 0.000 0.585 1
```

## Properties
* formation energy (no corrections): -199.7 kJ per mole of atoms

---

no.,total DFT energy (no corrections) (eV/atom)
1,-2.63
2,-7.08
3,-7.84